Computed, not measured: a geometry-optimized Sc2FeSn structure at the PBE-GGA level of DFT.

DFT formation energy = -0.355 eV/atom

Cell lengths 3.173, 3.173, 7.553 Å; angles 90.00, 90.00, 90.00 degrees
Atoms (fractional coordinates):
Sc  0.000  0.000  0.199
Sc  0.000  0.000  0.801
Fe  0.500  0.500  0.000
Sn  0.500  0.500  0.500

---

Computed, not measured: a geometry-optimized LiMo3N structure at the PBE-GGA level of DFT.

Uncorrected formation energy = 2.28 eV per atom

Cell lengths 4.151, 4.151, 4.151 Å; angles 90.00, 90.00, 90.00 degrees
Atoms (fractional coordinates):
Li  0.000  0.000  0.000
Mo  0.000  0.000  0.500
Mo  0.000  0.500  0.000
Mo  0.500  0.000  0.000
N  0.500  0.500  0.500

---

Here are the calculated Fermi-level density of states numbers, same order: 1.44, 4.45 (states/eV per cell).